CsPbO2 | PBE-GGA | relaxed

abc: 6.434 6.241 11.636
angles: 90.00 116.19 90.00
Space group P2/c (No. 13)
Asymmetric unit:
Cs  0.128  0.225  0.123 x4
Pb  0.438  0.319  0.878 x4
O  0.255  0.283  0.656 x4
O  0.398  0.335  0.404 x4

Calculated values
- Formation energy without anion corrections: -1039.2 meV per atom
- Volume: 26.2 Å³/atom